Entry 1:
## Ti2GaPd3 (PBE)

Data for a geometry-optimized Ti2GaPd3 structure.

## Properties
polymorph energy (0 for the lowest one): 0 meV per atom
symmetry: Cmmm, No. 65

Unit cell a=5.7559 b=7.4444 c=7.4444 alpha=144.30 beta=90.00 gamma=90.00
Site moments in Bohr magnetons follow the coordinates.
Element x y z (fractional)
Pd 0.4697 0.5000 0.5000  0.01
Pd 0.4697 0.8499 0.1501  0.01
Pd 0.4697 0.1501 0.8499  0.01
Pd 0.9697 0.5000 0.5000  0.01
Pd 0.9697 0.8499 0.1501  0.01
Pd 0.9697 0.1501 0.8499  0.01
Ti 0.7195 0.6784 0.3216  0.28
Ti 0.2195 0.3216 0.6784  0.28
Ti 0.2195 0.6784 0.3216  0.28
Ti 0.7195 0.3216 0.6784  0.28
Ga 0.7198 0.0000 0.0000  0.00
Ga 0.2198 0.0000 0.0000  0.00

***

Entry 2:
## LiCa2Fe (PBE)

Data for a geometry-optimized LiCa2Fe structure.

## Properties
symmetry: P4/mmm, No. 123
final energy: -3.264 eV/atom

Unit cell a=3.5007 b=3.5007 c=8.6554 alpha=90.00 beta=90.00 gamma=90.00
Site moments in Bohr magnetons follow the coordinates.
Element x y z (fractional)
Li 0.5000 0.5000 0.7500  0.00
Ca 0.0000 0.0000 0.0388  -0.09
Ca 0.0000 0.0000 0.4612  -0.09
Fe 0.5000 0.5000 0.2500  2.69

***

Entry 3:
## Rb2AcMgF6 (PBE)

Data for a geometry-optimized Rb2AcMgF6 structure.

## Properties
symmetry: Pmmn, No. 59
formation energy without anion corrections: -3152 meV/atom

Unit cell a=6.0003 b=7.0493 c=8.9665 alpha=90.00 beta=90.00 gamma=90.00
Site moments in Bohr magnetons follow the coordinates.
Element x y z (fractional)
F 0.2402 0.0035 0.0000  0.01
F 0.7402 0.9965 0.5000  0.01
F 0.0000 0.7811 0.7668  0.00
F 0.2598 0.9965 0.5000  0.01
F 0.2371 0.4006 0.5000  0.01
F 0.7371 0.5994 0.0000  0.01
F 0.5000 0.2189 0.2668  0.00
F 0.5000 0.2189 0.7332  0.00
F 0.7629 0.4006 0.5000  0.01
F 0.0000 0.7811 0.2332  0.00
F 0.7598 0.0035 0.0000  0.01
F 0.2629 0.5994 0.0000  0.01
Mg 0.5000 0.2177 0.5000  0.00
Mg 0.0000 0.7823 0.0000  0.00
Ac 0.5000 0.3083 0.0000  0.08
Ac 0.0000 0.6917 0.5000  0.08
Rb 0.5000 0.8157 0.7729  0.01
Rb 0.5000 0.8157 0.2271  0.01
Rb 0.0000 0.1843 0.2729  0.01
Rb 0.0000 0.1843 0.7271  0.01

***

Entry 4:
## La3Er6Tm (PBE)

Data for a geometry-optimized La3Er6Tm structure.

## Properties
polymorph energy (0 for the lowest one): 138 meV per atom
symmetry: R-3, No. 148

Unit cell a=9.8776 b=9.8776 c=6.8909 alpha=44.22 beta=44.22 gamma=60.00
Element x y z (fractional)
Er 0.0941 0.4298 0.7006
Er 0.6058 0.2700 0.1996
Er 0.9246 0.6058 0.1996
Er 0.7755 0.0941 0.7006
Er 0.2700 0.9246 0.1996
Er 0.4298 0.7755 0.7006
La 0.3502 0.3502 0.9495
La 0.5975 0.5975 0.2074
La 0.1026 0.1026 0.6923
Tm 0.8500 0.8500 0.4501

***

Entry 5:
## Al2Zn2W (PBE)

Data for a geometry-optimized Al2Zn2W structure.

## Properties
symmetry: P4/mbm, No. 127
final energy: -4.283 eV/atom

Unit cell a=7.0477 b=7.0477 c=3.0910 alpha=90.00 beta=90.00 gamma=90.00
Element x y z (fractional)
Zn 0.3438 0.1562 0.5000
Zn 0.6562 0.8438 0.5000
Zn 0.8438 0.3438 0.5000
Zn 0.1562 0.6562 0.5000
Al 0.3568 0.8568 0.0000
Al 0.1432 0.3568 0.0000
Al 0.8568 0.6432 0.0000
Al 0.6432 0.1432 0.0000
W 0.0000 0.0000 0.0000
W 0.5000 0.5000 0.0000

***

Entry 6:
## La2TbUP4 (PBE)

Data for a geometry-optimized La2TbUP4 structure.

## Properties
symmetry: P2/m, No. 10
final energy: -7.344 eV/atom

Unit cell a=4.1007 b=7.1056 c=7.1690 alpha=109.14 beta=90.00 gamma=90.00
Site moments in Bohr magnetons follow the coordinates.
Element x y z (fractional)
Tb 0.0000 0.0000 0.0000  0.01
P 0.0000 0.7378 0.2283  -0.04
P 0.5000 0.2514 0.2307  -0.03
P 0.5000 0.7486 0.7693  -0.03
P 0.0000 0.2622 0.7717  -0.04
La 0.0000 0.5000 0.5000  0.02
La 0.5000 0.0000 0.5000  0.03
U 0.5000 0.5000 0.0000  1.88

***

Entry 7:
## NbCuC2Br (PBE)

Data for a geometry-optimized NbCuC2Br structure.

## Properties
symmetry: P4/mmm, No. 123
formation energy without anion corrections: 2072 meV/atom

Unit cell a=3.7797 b=5.2318 c=3.7797 alpha=90.00 beta=90.00 gamma=90.00
Element x y z (fractional)
Cu 0.0000 0.0000 0.0000
Br 0.0000 0.5000 0.0000
C 0.0000 0.0000 0.5000
C 0.5000 0.0000 0.0000
Nb 0.5000 0.5000 0.5000

***

Entry 8:
## Li7Tl4Hg (PBE)

Data for a geometry-optimized Li7Tl4Hg structure.

## Properties
symmetry: C2/m, No. 12
final energy: -2.106 eV/atom

Unit cell a=5.1218 b=8.1244 c=7.3361 alpha=65.14 beta=69.57 gamma=71.63
Element x y z (fractional)
Tl 0.3161 0.3584 0.0094
Tl 0.4268 0.7188 0.4277
Tl 0.5732 0.2812 0.5723
Tl 0.6839 0.6416 0.9906
Li 0.2198 0.7547 0.8056
Li 0.7960 0.8795 0.5284
Li 0.2040 0.1205 0.4716
Li 0.9293 0.4140 0.7274
Li 0.0707 0.5860 0.2726
Li 0.7802 0.2453 0.1944
Li 0.5000 0.0000 0.0000
Hg 0.0000 0.0000 0.0000

***

Entry 9:
## Hf3V4Ge4 (PBE)

Data for a geometry-optimized Hf3V4Ge4 structure.

## Properties
symmetry: Immm, No. 71
final energy: -8.160 eV/atom

Unit cell a=3.5461 b=7.6645 c=7.9562 alpha=118.79 beta=102.88 gamma=90.00
Element x y z (fractional)
Ge 0.2243 0.7243 0.4486
Ge 0.5000 0.7955 0.0000
Ge 0.5000 0.2045 0.0000
Ge 0.7757 0.2757 0.5514
V 0.3196 0.1122 0.6391
V 0.6804 0.8878 0.3609
V 0.3196 0.5270 0.6391
V 0.6804 0.4730 0.3609
Hf 0.1175 0.1175 0.2350
Hf 0.0000 0.5000 0.0000
Hf 0.8825 0.8825 0.7650

***

Entry 10:
## Pr2ZrAl (PBE)

Data for a geometry-optimized Pr2ZrAl structure.

## Properties
polymorph energy (0 for the lowest one): 0 meV per atom
symmetry: P4/mmm, No. 123

Unit cell a=4.8153 b=4.7039 c=4.7039 alpha=90.00 beta=90.00 gamma=90.00
Element x y z (fractional)
Zr 0.5000 0.5000 0.5000
Pr 0.0000 0.5000 0.0000
Pr 0.0000 0.0000 0.5000
Al 0.5000 0.0000 0.0000

***

Entry 11:
## Ac3GaOs3 (PBE)

Data for a geometry-optimized Ac3GaOs3 structure.

## Properties
symmetry: Cmcm, No. 63
final energy: -7.098 eV/atom

Unit cell a=4.6133 b=6.1592 c=13.6966 alpha=90.00 beta=90.00 gamma=111.99
Element x y z (fractional)
Ac 0.2363 0.4726 0.6066
Ac 0.4705 0.9411 0.2500
Ac 0.7637 0.5274 0.1066
Ac 0.7637 0.5274 0.3934
Ac 0.5295 0.0589 0.7500
Ac 0.2363 0.4726 0.8934
Os 0.1495 0.2989 0.2500
Os 0.0585 0.1171 0.0856
Os 0.9415 0.8829 0.9144
Os 0.8505 0.7011 0.7500
Os 0.9415 0.8829 0.5856
Os 0.0585 0.1171 0.4144
Ga 0.5000 0.0000 0.5000
Ga 0.5000 0.0000 0.0000

***

Entry 12:
## Tb2Th5Sc12 (PBE)

Data for a geometry-optimized Tb2Th5Sc12 structure.

## Properties
polymorph energy (0 for the lowest one): 302 meV per atom
symmetry: C2/m, No. 12

Unit cell a=6.3576 b=10.1180 c=10.1843 alpha=112.13 beta=90.00 gamma=108.31
Element x y z (fractional)
Sc 0.1313 0.2626 0.2979
Sc 0.5612 0.6011 0.9197
Sc 0.5509 0.6072 0.4066
Sc 0.4491 0.3928 0.5934
Sc 0.4517 0.9035 0.5732
Sc 0.9437 0.3928 0.5934
Sc 0.0399 0.6011 0.9197
Sc 0.8687 0.7374 0.7021
Sc 0.9601 0.3989 0.0803
Sc 0.4388 0.3989 0.0803
Sc 0.5483 0.0965 0.4268
Sc 0.0563 0.6072 0.4066
Th 0.3850 0.7700 0.2121
Th 0.0000 0.0000 0.5000
Th 0.3555 0.7109 0.7200
Th 0.6445 0.2891 0.2800
Th 0.6150 0.2300 0.7879
Tb 0.7493 0.0000 0.0000
Tb 0.2507 0.0000 0.0000